The following is a PBE calculation of crystalline ScCu2Sn at its relaxed geometry, from Alexandria via LeMat-Bulk.

Lattice parameters (Å, degrees): 9.5307 9.5307 9.5307 154.91 154.91 35.78
Fractional positions:
Sc  0.0000  0.0000  0.0000
Sc  0.7500  0.2500  0.5000
Cu  0.1644  0.6250  0.0394
Cu  0.3750  0.4144  0.5394
Cu  0.5856  0.1250  0.9606
Cu  0.8750  0.8356  0.4606
Sn  0.2500  0.7500  0.5000
Sn  0.5000  0.5000  0.0000

Output
As for the crystal system: tetragonal. For the density of states at the Fermi level, the calculation gives 1.35 states/eV/f.u. The value obtained for the total energy is -4.585 eV per atom. The formation energy comes out at 0.05 eV per atom.